(1)
The following is a PBE calculation of a relaxed structure of Mg4Cd3In2, from Alexandria via LeMat-Bulk.

Geometry as POSCAR:
```
Mg4Cd3In2
1.0
5.033 -2.200 0.000
5.033 2.200 0.000
-2.853 0.000 9.201
Mg Cd In
4 3 2
Direct
0.007 0.007 0.333
0.337 0.337 0.110
0.663 0.663 0.890
0.993 0.993 0.667
0.000 0.000 0.000
0.341 0.341 0.443
0.659 0.659 0.557
0.325 0.325 0.778
0.675 0.675 0.222
```

The volume comes out at 22.637 Å³ per atom. Its formation energy is -68 kJ/mol of formula units. The calculation puts the spin magnetization at 0.00 Bohr magnetons per cell. The density of states at the Fermi level is 2.66 states/eV per cell.

---

(2)
The following is a PBE calculation of a relaxed structure of Mg2CdIn, from Alexandria via LeMat-Bulk.

Geometry as POSCAR:
```
Mg2CdIn
1.0
10.546 0.000 0.000
0.000 3.476 0.000
-0.836 0.000 5.031
Mg Cd In
4 2 2
Direct
0.000 0.000 0.000
0.245 0.000 0.720
0.500 0.500 0.000
0.745 0.500 0.720
0.246 0.500 0.213
0.746 0.000 0.213
0.497 0.000 0.500
0.997 0.500 0.500
```

The volume comes out at 23.053 Å³ per atom. Its formation energy is -27 kJ/mol of formula units. The calculation puts the spin magnetization at 0.00 Bohr magnetons per cell. The density of states at the Fermi level is 2.70 states/eV per cell.

---

(3)
The following is a PBE calculation of a relaxed structure of Mg15Cd4In, from Alexandria via LeMat-Bulk.

Geometry as POSCAR:
```
Mg15Cd4In
1.0
4.552 0.000 0.000
0.000 4.552 0.000
0.000 0.000 21.465
Mg Cd In
15 4 1
Direct
0.000 0.000 0.000
0.000 0.000 0.203
0.000 0.000 0.401
0.000 0.000 0.599
0.000 0.000 0.797
0.000 0.500 0.103
0.000 0.500 0.302
0.000 0.500 0.500
0.000 0.500 0.698
0.000 0.500 0.897
0.500 0.000 0.103
0.500 0.000 0.302
0.500 0.000 0.500
0.500 0.000 0.698
0.500 0.000 0.897
0.500 0.500 0.203
0.500 0.500 0.401
0.500 0.500 0.599
0.500 0.500 0.797
0.500 0.500 0.000
```

The volume comes out at 22.239 Å³ per atom. Its formation energy is -148 kJ/mol of formula units. The calculation puts the spin magnetization at 0.00 Bohr magnetons per cell. The density of states at the Fermi level is 5.45 states/eV per cell.

---

(4)
The following is a PBE calculation of a relaxed structure of Mg2Cd10In, from Alexandria via LeMat-Bulk.

Geometry as POSCAR:
```
Mg2Cd10In
1.0
0.000 7.005 7.144
3.084 0.000 7.144
3.084 7.005 0.000
Mg Cd In
2 10 1
Direct
0.000 0.000 0.500
0.500 0.500 0.000
0.000 0.500 0.000
0.002 0.784 0.216
0.155 0.504 0.496
0.216 0.998 0.002
0.496 0.845 0.155
0.500 0.000 0.500
0.504 0.155 0.845
0.784 0.002 0.998
0.845 0.496 0.504
0.998 0.216 0.784
0.500 0.500 0.500
```

The volume comes out at 23.746 Å³ per atom. Its formation energy is 15 kJ/mol of formula units. The calculation puts the spin magnetization at 0.00 Bohr magnetons per cell. The density of states at the Fermi level is 4.68 states/eV per cell.